VASP calculation (PBE) on crystalline Tb8Tm3In2 at its relaxed geometry.

Cell: 5.530 8.191 10.031 Å, 114.07 90.00 90.00°
Atoms (fractional coordinates):
Tb  0.500  0.590  0.768
In  0.500  0.231  0.463
Tb  0.000  0.323  0.646
Tb  0.500  0.410  0.232
Tm  0.000  0.703  0.000
Tb  0.500  0.178  0.768
Tb  0.000  0.677  0.354
Tb  0.500  0.822  0.232
Tb  0.000  0.872  0.743
In  0.500  0.769  0.537
Tm  0.000  0.297  0.000
Tm  0.500  0.000  0.000
Tb  0.000  0.128  0.257

Calculated values
Total magnetization = 0.0 μB/f.u.
E above lowest polymorph = 79 meV/atom
Space-group type = P2/m
Total energy = -4.276 eV per atom
Energy of formation from the pure elements = 0.3 eV/f.u.